[1]
First-principles (PBE) data for a geometry-optimized La4CoBi structure, as listed in Alexandria.

## Properties
N(E_F): 13.0 states/eV/cell
magnetization: 0.0 μB per formula unit
calculated total energy: -65.84 eV for the cell shown
ΔE to the lowest computed polymorph: 0.019 eV per atom
formation energy from the elements: -35.8 kJ/mol of atoms
symmetry: No. 15
density: 7.2 Mg/m³

a = 6.2425 Å, b = 7.9788 Å, c = 8.5365 Å
α = 105.39°, β = 111.45°, γ = 90.00°
Closest atoms and distances in Å follow each position.
Positions (direct):
La 0.5393 0.0599 0.8273  1 Co 2.62
La 0.7120 0.4401 0.1727  1 Co 2.62
La 0.4607 0.9401 0.1727  1 Co 2.62
La 0.2880 0.5599 0.8273  1 Co 2.62
La 0.9161 0.8575 0.6374  2 Co 2.81-2.91
La 0.2787 0.6425 0.3626  2 Co 2.81-2.91
La 0.0839 0.1425 0.3626  2 Co 2.81-2.91
La 0.7213 0.3575 0.6374  2 Co 2.81-2.91
Co 0.5000 0.0000 0.5000  6 La 2.62-2.91
Co 0.0000 0.5000 0.5000  6 La 2.62-2.91
Bi 0.8679 0.7500 0.0000  10 La 3.50-3.61
Bi 0.1321 0.2500 0.0000  10 La 3.50-3.61



[2]
First-principles (PBE) data for a geometry-optimized PmPrSnPb structure, as listed in Alexandria.

## Properties
N(E_F): 3.2 states/eV/cell
magnetization: 0.0 μB per formula unit
calculated total energy: -19.92 eV for the cell shown
ΔE to the lowest computed polymorph: 0.000 eV per atom
formation energy from the elements: -64.6 kJ/mol of atoms
symmetry: No. 38
density: 8.2 Mg/m³

a = 4.6751 Å, b = 4.4717 Å, c = 6.3829 Å
α = 90.00°, β = 111.48°, γ = 90.00°
Closest atoms and distances in Å follow each position.
Positions (direct):
Pm 0.8658 0.5000 0.7316  3 Sn 3.24-3.57, 4 Pb 3.27
Pr 0.1339 0.0000 0.2679  3 Pb 3.25-3.57, 4 Sn 3.27
Sn 0.5931 0.5000 0.1862  2 Pb 3.14, 1 Pm 3.24, 4 Pr 3.27
Pb 0.4072 0.0000 0.8144  2 Sn 3.14, 1 Pr 3.25, 4 Pm 3.27



[3]
First-principles (PBE) data for a geometry-optimized La4S3 structure, as listed in Alexandria.

## Properties
N(E_F): 6.4 states/eV/cell
magnetization: 0.0 μB per formula unit
calculated total energy: -44.60 eV for the cell shown
E_form (uncorrected): -12.51 eV per formula unit
symmetry: No. 166
density: 5.4 Mg/m³

a = 4.1216 Å, b = 4.1216 Å, c = 13.7767 Å
α = 81.40°, β = 81.40°, γ = 60.00°
Closest atoms and distances in Å follow each position.
Positions (direct):
La 0.3767 0.3767 0.8700  6 S 2.90-2.96
La 0.1249 0.1249 0.6253  3 S 2.90
La 0.8751 0.8751 0.3747  3 S 2.90
La 0.6233 0.6233 0.1300  6 S 2.90-2.96
S 0.7508 0.7508 0.7476  6 La 2.90
S 0.2492 0.2492 0.2524  6 La 2.90
S 0.0000 0.0000 0.0000  6 La 2.96



[4]
First-principles (PBE) data for a geometry-optimized CaNd4Si4 structure, as listed in Alexandria.

## Properties
N(E_F): 13.8 states/eV/cell
magnetization: 0.0 μB per formula unit
calculated total energy: -93.56 eV for the cell shown
E_form (uncorrected): -4.01 eV per formula unit
symmetry: No. 86
density: 4.8 Mg/m³

a = 6.0741 Å, b = 9.0946 Å, c = 9.0946 Å
α = 90.00°, β = 90.00°, γ = 90.00°
Closest atoms and distances in Å follow each position.
Positions (direct):
Ca 0.0000 0.0000 0.0000  4 Si 2.86
Ca 0.5000 0.5000 0.5000  4 Si 2.86
Nd 0.3634 0.3196 0.9091  5 Si 2.98-3.17
Nd 0.8634 0.5909 0.8196  5 Si 2.98-3.17
Nd 0.3634 0.6804 0.0909  5 Si 2.98-3.17
Nd 0.1366 0.1804 0.5909  5 Si 2.98-3.17
Nd 0.6366 0.9091 0.6804  5 Si 2.98-3.17
Nd 0.1366 0.8196 0.4091  5 Si 2.98-3.17
Nd 0.8634 0.4091 0.1804  5 Si 2.98-3.17
Nd 0.6366 0.0909 0.3196  5 Si 2.98-3.17
Si 0.6472 0.7660 0.3629  1 Si 2.42
Si 0.6472 0.2340 0.6371  1 Si 2.42
Si 0.1472 0.8629 0.7340  1 Si 2.42
Si 0.8528 0.2660 0.8629  1 Si 2.42
Si 0.8528 0.7340 0.1371  1 Si 2.42
Si 0.3528 0.3629 0.2340  1 Si 2.42
Si 0.3528 0.6371 0.7660  1 Si 2.42
Si 0.1472 0.1371 0.2660  1 Si 2.42



[5]
First-principles (PBE) data for a geometry-optimized Y2PdAu2 structure, as listed in Alexandria.

## Properties
N(E_F): 2.5 states/eV/cell
magnetization: 0.0 μB per formula unit
calculated total energy: -28.24 eV for the cell shown
ΔE to the lowest computed polymorph: 0.074 eV per atom
formation energy from the elements: -68.7 kJ/mol of atoms
symmetry: No. 12
density: 10.5 Mg/m³

a = 4.7459 Å, b = 4.7459 Å, c = 6.1957 Å
α = 120.56°, β = 86.78°, γ = 114.17°
Closest atoms and distances in Å follow each position.
Positions (direct):
Y 0.1196 0.1857 0.8052  3 Pd 2.85-3.07, 5 Au 2.98-3.15
Y 0.8804 0.8143 0.1948  3 Pd 2.85-3.07, 5 Au 2.98-3.15
Pd 0.5000 0.0000 0.0000  6 Y 2.85-3.07, 4 Au 3.16
Au 0.6990 0.3979 0.5970  3 Au 2.98-3.01, 5 Y 2.98-3.15, 2 Pd 3.16
Au 0.3010 0.6021 0.4030  3 Au 2.98-3.01, 5 Y 2.98-3.15, 2 Pd 3.16



[6]
First-principles (PBE) data for a geometry-optimized Y3TeH structure, as listed in Alexandria.

## Properties
N(E_F): 7.8 states/eV/cell
magnetization: 2.1 μB per formula unit
calculated total energy: -22.77 eV for the cell shown
ΔE to the lowest computed polymorph: 1.224 eV per atom
symmetry: No. 221
density: 3.5 Mg/m³

a = 5.7049 Å, b = 5.7049 Å, c = 5.7049 Å
α = 90.00°, β = 90.00°, γ = 90.00°
Closest atoms and distances in Å follow each position.
Positions (direct):
Y 0.0000 0.5000 0.0000  2 Te 2.85
Y 0.0000 0.0000 0.5000  2 Te 2.85
Y 0.5000 0.0000 0.0000  2 Te 2.85
H 0.5000 0.5000 0.5000  12 Y 4.03
Te 0.0000 0.0000 0.0000  6 Y 2.85



Question: Which formula does entry 1 have?
Answer: La4CoBi



Question: calculated total energy of number 2 (PmPrSnPb)?
Answer: -19.92 eV for the cell shown